[1]
MgHAu2 PBE optimized geometry; total moment = 0.3 Bohr magnetons per cell; energy above the most stable polymorph in this dataset = 302 meV per atom
1.0
0.0000 3.1462 3.1462
3.1462 0.0000 3.1462
3.1462 3.1462 0.0000
Mg H Au
1 1 2
Cartesian
0.0000 0.0000 0.0000
3.1462 3.1462 3.1462
1.5731 1.5731 1.5731
4.7193 4.7193 4.7193

[2]
Se3Br PBE optimized geometry; formation energy (no corrections) = 0.21 eV/atom; total moment = 0.0 Bohr magnetons per cell; energy above the most stable polymorph in this dataset = 161 meV per atom
1.0
2.0042 1.1571 7.0825
-2.0042 1.1571 7.0825
0.0000 -2.3143 7.0825
Se Br
3 1
Cartesian
0.0000 0.0000 0.0000
0.0000 0.0000 5.5991
0.0000 0.0000 15.6482
0.0000 0.0000 10.6237

[3]
KBi2HS PBE optimized geometry; total moment = 0.0 Bohr magnetons per cell; total DFT energy (no corrections) = -3.14 eV/atom
1.0
4.7107 0.0000 0.0000
0.0000 4.7107 0.0000
0.0000 0.0000 5.5838
K Bi H S
1 2 1 1
Cartesian
0.0000 0.0000 0.0000
0.0000 2.3554 2.7919
2.3554 0.0000 2.7919
0.0000 0.0000 2.7919
2.3554 2.3554 0.0000

[4]
Tl3IrF6 PBE optimized geometry; formation energy (no corrections) = -1.65 eV/atom; total moment = 0.2 Bohr magnetons per cell; energy above the most stable polymorph in this dataset = 0 meV per atom
1.0
5.4720 -3.1296 0.0000
5.4720 3.1296 0.0000
-3.6632 0.0000 5.7283
Tl Ir F
3 1 6
Cartesian
0.0000 0.0000 0.0000
-0.0476 0.0000 4.1507
7.3283 0.0000 1.5776
3.6404 0.0000 2.8641
2.4039 1.4149 3.6740
2.5060 0.0000 1.1687
4.8768 1.4149 2.0543
2.4039 -1.4149 3.6740
4.7747 0.0000 4.5595
4.8768 -1.4149 2.0543